# PBE LiBeOs2, optimized geometry
# Calculated formation energy: 55 kJ/mol of formula units
# Total energy: -6.8814 eV per atom
data_LiBeOs2
_chemical_formula_sum 'Li2 Be2 Os4'
_symmetry_space_group_name_H-M 'C m m m'
_symmetry_Int_Tables_number 65
_symmetry_space_group_name_Hall '-C 2 2'
_cell_length_a 2.7606
_cell_length_b 4.4514
_cell_length_c 8.4305
_cell_angle_alpha 90.00
_cell_angle_beta 90.00
_cell_angle_gamma 90.00
loop_
_atom_site_label
_atom_site_fract_x
_atom_site_fract_y
_atom_site_fract_z
_atom_site_occupancy
Li1 0.0000 0.0000 0.0000 1
Be1 0.0000 0.0000 0.5000 1
Os1 0.0000 0.5000 0.2717 1